a | Here is an optimized crystal structure of ErHfZr3 from Alexandria. Energies are from PBE.

Summary:
Fermi-level density of states   3.7 states/eV/f.u.

Cell lengths 5.709, 6.146, 7.666 Å; angles 102.91, 111.62, 90.01 degrees
Fractional positions:
Er1 0.015 0.454 0.206
Er2 0.985 0.546 0.794
Hf1 0.423 0.243 0.997
Hf2 0.577 0.757 0.003
Zr1 0.192 0.956 0.199
Zr2 0.229 0.863 0.605
Zr3 0.390 0.354 0.606
Zr4 0.610 0.646 0.394
Zr5 0.771 0.137 0.395
Zr6 0.808 0.044 0.801



b | Here is an optimized crystal structure of ErHfZr3 from Alexandria. Energies are from PBE.

Summary:
Fermi-level density of states   5.8 states/eV/f.u.

Cell lengths 4.854, 6.809, 7.565 Å; angles 90.00, 90.00, 90.00 degrees
Fractional positions:
Er1 0.250 0.250 0.047
Er2 0.750 0.750 0.953
Hf1 0.250 0.250 0.445
Hf2 0.750 0.750 0.555
Zr1 0.250 0.543 0.724
Zr2 0.250 0.750 0.289
Zr3 0.250 0.957 0.724
Zr4 0.750 0.043 0.276
Zr5 0.750 0.250 0.711
Zr6 0.750 0.457 0.276



Which of them is most stable, and which least? Most stable: a; least stable: b.



a | Here is an optimized crystal structure of Er3Hg4 from Alexandria. Energies are from PBE.

Summary:
Fermi-level density of states   5.5 states/eV/f.u.

Cell lengths 7.775, 7.775, 7.775 Å; angles 109.47, 109.47, 109.47 degrees
Fractional positions:
Er1 0.125 0.875 0.250
Er2 0.250 0.125 0.875
Er3 0.375 0.625 0.750
Er4 0.625 0.750 0.375
Er5 0.750 0.375 0.625
Er6 0.875 0.250 0.125
Hg1 0.000 0.166 0.500
Hg2 0.000 0.666 0.500
Hg3 0.166 0.500 0.000
Hg4 0.334 0.334 0.334
Hg5 0.500 0.000 0.166
Hg6 0.500 0.000 0.666
Hg7 0.666 0.500 0.000
Hg8 0.834 0.834 0.834



b | Here is an optimized crystal structure of Er3Hg4 from Alexandria. Energies are from PBE.

Summary:
Fermi-level density of states   5.3 states/eV/f.u.

Cell lengths 9.077, 9.077, 9.077 Å; angles 32.34, 32.34, 32.34 degrees
Fractional positions:
Er1 0.000 0.000 0.000
Er2 0.245 0.245 0.245
Er3 0.755 0.755 0.755
Hg1 0.127 0.127 0.127
Hg2 0.375 0.375 0.375
Hg3 0.625 0.625 0.625
Hg4 0.873 0.873 0.873



Which of them is most stable, and which least? Most stable: a; least stable: b.



a | Here is an optimized crystal structure of Ho2ErHg from Alexandria. Energies are from PBE.

Summary:
Fermi-level density of states   5.3 states/eV/f.u.

Cell lengths 3.619, 3.619, 31.164 Å; angles 90.00, 90.00, 120.00 degrees
Fractional positions:
Ho1 0.000 0.000 0.000
Ho2 0.000 0.000 0.180
Ho3 0.333 0.667 0.667
Ho4 0.333 0.667 0.847
Ho5 0.667 0.333 0.333
Ho6 0.667 0.333 0.514
Er1 0.000 0.000 0.423
Er2 0.333 0.667 0.090
Er3 0.667 0.333 0.757
Hg1 0.000 0.000 0.590
Hg2 0.333 0.667 0.257
Hg3 0.667 0.333 0.923



b | Here is an optimized crystal structure of Ho2ErHg from Alexandria. Energies are from PBE.

Summary:
Fermi-level density of states   5.2 states/eV/f.u.

Cell lengths 7.591, 7.591, 7.591 Å; angles 90.00, 90.00, 90.00 degrees
Fractional positions:
Ho1 0.250 0.250 0.250
Ho2 0.250 0.250 0.750
Ho3 0.250 0.750 0.250
Ho4 0.250 0.750 0.750
Ho5 0.750 0.250 0.250
Ho6 0.750 0.250 0.750
Ho7 0.750 0.750 0.250
Ho8 0.750 0.750 0.750
Er1 0.000 0.000 0.000
Er2 0.000 0.500 0.500
Er3 0.500 0.000 0.500
Er4 0.500 0.500 0.000
Hg1 0.000 0.000 0.500
Hg2 0.000 0.500 0.000
Hg3 0.500 0.000 0.000
Hg4 0.500 0.500 0.500



c | Here is an optimized crystal structure of Ho2ErHg from Alexandria. Energies are from PBE.

Summary:
Fermi-level density of states   4.7 states/eV/f.u.

Cell lengths 3.572, 3.572, 8.878 Å; angles 90.00, 90.00, 90.00 degrees
Fractional positions:
Ho1 0.000 0.000 0.225
Ho2 0.000 0.000 0.775
Er1 0.500 0.500 0.500
Hg1 0.500 0.500 0.000



Which of them is most stable, and which least? Most stable: c; least stable: b.



a | Here is an optimized crystal structure of HoErHg from Alexandria. Energies are from PBE.

Summary:
Fermi-level density of states   3.0 states/eV/f.u.

Cell lengths 3.584, 3.584, 12.806 Å; angles 90.00, 90.00, 90.00 degrees
Fractional positions:
Ho1 0.000 0.000 0.000
Ho2 0.500 0.500 0.500
Er1 0.000 0.000 0.309
Er2 0.500 0.500 0.809
Hg1 0.000 0.000 0.655
Hg2 0.500 0.500 0.155



b | Here is an optimized crystal structure of HoErHg from Alexandria. Energies are from PBE.

Summary:
Fermi-level density of states   1.6 states/eV/f.u.

Cell lengths 5.204, 5.204, 6.873 Å; angles 90.00, 90.00, 120.00 degrees
Fractional positions:
Ho1 0.000 0.000 0.000
Ho2 0.000 0.000 0.500
Er1 0.333 0.667 0.250
Er2 0.667 0.333 0.750
Hg1 0.333 0.667 0.750
Hg2 0.667 0.333 0.250



c | Here is an optimized crystal structure of HoErHg from Alexandria. Energies are from PBE.

Summary:
Fermi-level density of states   2.8 states/eV/f.u.

Cell lengths 5.114, 5.114, 3.657 Å; angles 90.00, 90.00, 120.00 degrees
Fractional positions:
Ho1 0.000 0.000 0.000
Er1 0.333 0.667 0.532
Hg1 0.667 0.333 0.289



d | Here is an optimized crystal structure of HoErHg from Alexandria. Energies are from PBE.

Summary:
Fermi-level density of states   2.9 states/eV/f.u.

Cell lengths 7.159, 7.159, 7.159 Å; angles 90.00, 90.00, 90.00 degrees
Fractional positions:
Ho1 0.000 0.000 0.000
Ho2 0.000 0.500 0.500
Ho3 0.500 0.000 0.500
Ho4 0.500 0.500 0.000
Er1 0.000 0.000 0.500
Er2 0.000 0.500 0.000
Er3 0.500 0.000 0.000
Er4 0.500 0.500 0.500
Hg1 0.250 0.250 0.250
Hg2 0.250 0.750 0.750
Hg3 0.750 0.250 0.750
Hg4 0.750 0.750 0.250



Which of them is most stable, and which least? Most stable: b; least stable: d.



a | Here is an optimized crystal structure of Ho3Er2Hg2 from Alexandria. Energies are from PBE.

Summary:
Fermi-level density of states   10.4 states/eV/f.u.

Cell lengths 3.544, 31.844, 3.531 Å; angles 90.00, 90.00, 90.00 degrees
Fractional positions:
Ho1 0.000 0.000 0.000
Ho2 0.000 0.127 0.000
Ho3 0.000 0.873 0.000
Ho4 0.500 0.373 0.000
Ho5 0.500 0.500 0.000
Ho6 0.500 0.627 0.000
Er1 0.000 0.296 0.500
Er2 0.000 0.704 0.500
Er3 0.500 0.204 0.500
Er4 0.500 0.796 0.500
Hg1 0.000 0.438 0.500
Hg2 0.000 0.562 0.500
Hg3 0.500 0.062 0.500
Hg4 0.500 0.938 0.500



b | Here is an optimized crystal structure of Ho3Er2Hg2 from Alexandria. Energies are from PBE.

Summary:
Fermi-level density of states   7.3 states/eV/f.u.

Cell lengths 9.201, 5.305, 8.435 Å; angles 90.00, 111.25, 90.00 degrees
Fractional positions:
Ho1 0.000 0.000 0.000
Ho2 0.158 0.000 0.473
Ho3 0.342 0.500 0.527
Ho4 0.500 0.500 0.000
Ho5 0.658 0.500 0.473
Ho6 0.842 0.000 0.527
Er1 0.075 0.500 0.725
Er2 0.425 0.000 0.275
Er3 0.575 0.000 0.725
Er4 0.925 0.500 0.275
Hg1 0.213 0.500 0.140
Hg2 0.287 0.000 0.860
Hg3 0.713 0.000 0.140
Hg4 0.787 0.500 0.860



Which of them is most stable, and which least? Most stable: b; least stable: a.



a | Here is an optimized crystal structure of Ho2ErHg4 from Alexandria. Energies are from PBE.

Summary:
Fermi-level density of states   6.5 states/eV/f.u.

Cell lengths 5.577, 5.577, 15.246 Å; angles 90.00, 90.00, 90.00 degrees
Fractional positions:
Ho1 0.000 0.000 0.103
Ho2 0.000 0.000 0.897
Ho3 0.500 0.500 0.397
Ho4 0.500 0.500 0.603
Er1 0.000 0.000 0.500
Er2 0.500 0.500 0.000
Hg1 0.000 0.000 0.302
Hg2 0.000 0.000 0.698
Hg3 0.000 0.500 0.000
Hg4 0.000 0.500 0.500
Hg5 0.500 0.000 0.000
Hg6 0.500 0.000 0.500
Hg7 0.500 0.500 0.198
Hg8 0.500 0.500 0.802



b | Here is an optimized crystal structure of Ho2ErHg4 from Alexandria. Energies are from PBE.

Summary:
Fermi-level density of states   5.2 states/eV/f.u.

Cell lengths 9.109, 9.109, 9.109 Å; angles 32.28, 32.28, 32.28 degrees
Fractional positions:
Ho1 0.245 0.245 0.245
Ho2 0.755 0.755 0.755
Er1 0.000 0.000 0.000
Hg1 0.127 0.127 0.127
Hg2 0.375 0.375 0.375
Hg3 0.625 0.625 0.625
Hg4 0.873 0.873 0.873



Which of them is most stable, and which least? Most stable: b; least stable: a.